No. 1
Compound: Pr3Sm8Ho
Source: Alexandria via LeMat-Bulk
Functional: PBE
Structure: relaxed

Output
Space group: Immm (71)
ΔH_f (0 K) (eV/f.u.): 3.44
Calculated density (g/cm3): 6.76

Lattice parameters (Å, degrees): 8.8073 8.8073 8.8073 97.21 135.99 98.93
Closest atoms and distances in Å follow each position.
Sites, in units of the cell vectors:
Sm 0.0135 0.7583 0.2551  6 Sm 3.23-3.50, 1 Ho 3.24, 1 Pr 3.37
Sm 0.9865 0.2417 0.7448  6 Sm 3.23-3.50, 1 Ho 3.24, 1 Pr 3.37
Sm 0.1659 0.4149 0.2490  7 Sm 3.46-3.82, 1 Ho 3.47, 4 Pr 3.49-3.83
Ho 0.0000 0.0000 0.0000  8 Sm 3.24-3.47
Sm 0.1659 0.9170 0.7510  7 Sm 3.46-3.82, 1 Ho 3.47, 4 Pr 3.49-3.83
Sm 0.5031 0.7583 0.7449  6 Sm 3.23-3.50, 1 Ho 3.24, 1 Pr 3.37
Sm 0.8341 0.5851 0.7510  7 Sm 3.46-3.82, 1 Ho 3.47, 4 Pr 3.49-3.83
Pr 0.5000 0.2453 0.7453  6 Sm 3.81-3.83
Sm 0.4969 0.2417 0.2552  6 Sm 3.23-3.50, 1 Ho 3.24, 1 Pr 3.37
Pr 0.5000 0.7547 0.2547  6 Sm 3.81-3.83
Sm 0.8341 0.0830 0.2490  7 Sm 3.46-3.82, 1 Ho 3.47, 4 Pr 3.49-3.83
Pr 0.0000 0.5000 0.5000  8 Sm 3.37-3.49



No. 2
Compound: Pr5Sm3Ho3
Source: Alexandria via LeMat-Bulk
Functional: PBE
Structure: relaxed

Output
E above lowest polymorph (kJ/mol of formula units): 0
Space group: P-62m (189)
ΔH_f (0 K) (eV/f.u.): 3.36
Calculated density (g/cm3): 7.00

Lattice parameters (Å, degrees): 3.4739 11.4113 11.4113 120.00 90.00 90.00
Closest atoms and distances in Å follow each position.
Sites, in units of the cell vectors:
Pr 0.5000 0.6667 0.3333  5 Pr 3.47-3.78, 6 Sm 3.89
Ho 0.5000 0.0000 0.8411  4 Ho 3.14-3.47, 2 Sm 3.28, 2 Pr 3.34
Pr 0.5000 0.0000 0.3376  2 Ho 3.34, 2 Sm 3.44, 2 Pr 3.47
Ho 0.5000 0.1589 0.1589  4 Ho 3.14-3.47, 2 Sm 3.28, 2 Pr 3.34
Pr 0.5000 0.6624 0.6624  2 Ho 3.34, 2 Sm 3.44, 2 Pr 3.47
Sm 0.0000 0.5975 0.0000  2 Ho 3.28, 2 Pr 3.44, 2 Sm 3.47
Pr 0.5000 0.3333 0.6667  5 Pr 3.47-3.78, 6 Sm 3.89
Sm 0.0000 0.0000 0.5975  2 Ho 3.28, 2 Pr 3.44, 2 Sm 3.47
Pr 0.5000 0.3376 0.0000  2 Ho 3.34, 2 Sm 3.44, 2 Pr 3.47
Sm 0.0000 0.4025 0.4025  2 Ho 3.28, 2 Pr 3.44, 2 Sm 3.47
Ho 0.5000 0.8411 0.0000  4 Ho 3.14-3.47, 2 Sm 3.28, 2 Pr 3.34



No. 3
Compound: Pr2SmHo
Source: Alexandria via LeMat-Bulk
Functional: PBE
Structure: relaxed

Output
E above lowest polymorph (kJ/mol of formula units): 41
Space group: Fm-3m (225)
ΔH_f (0 K) (eV/f.u.): 0.47
Calculated density (g/cm3): 7.22

Lattice parameters (Å, degrees): 5.7921 5.7921 5.7921 60.00 60.00 60.00
Closest atoms and distances in Å follow each position.
Sites, in units of the cell vectors:
Pr 0.7500 0.7500 0.7500  4 Sm 3.55, 4 Ho 3.55
Pr 0.2500 0.2500 0.2500  4 Ho 3.55, 4 Sm 3.55
Ho 0.0000 0.0000 0.0000  8 Pr 3.55
Sm 0.5000 0.5000 0.5000  8 Pr 3.55



No. 4
Compound: PrSm2Ho8
Source: Alexandria via LeMat-Bulk
Functional: PBE
Structure: relaxed

Output
E above lowest polymorph (kJ/mol of formula units): 40
Space group: C2/m (12)
ΔH_f (0 K) (eV/f.u.): 1.67
Calculated density (g/cm3): 7.95

Lattice parameters (Å, degrees): 5.5363 10.1466 10.1466 40.26 92.70 92.70
Closest atoms and distances in Å follow each position.
Sites, in units of the cell vectors:
Sm 0.7496 0.2845 0.2845  11 Ho 3.22-3.60
Sm 0.2504 0.7155 0.7155  11 Ho 3.22-3.60
Ho 0.2679 0.1347 0.6014  4 Ho 3.26-3.53, 3 Sm 3.45-3.60, 1 Pr 3.52
Ho 0.2335 0.1873 0.1873  4 Sm 3.33-3.53, 4 Ho 3.46-3.53
Pr 0.0000 0.0000 0.0000  10 Ho 3.52-3.82
Ho 0.7618 0.4536 0.4536  2 Ho 3.10-3.47, 1 Sm 3.22
Ho 0.2382 0.5464 0.5464  2 Ho 3.10-3.47, 1 Sm 3.22
Ho 0.7321 0.3986 0.8653  4 Ho 3.26-3.53, 3 Sm 3.45-3.60, 1 Pr 3.52
Ho 0.7321 0.8653 0.3986  4 Ho 3.26-3.53, 3 Sm 3.45-3.60, 1 Pr 3.52
Ho 0.7665 0.8127 0.8127  4 Sm 3.33-3.53, 4 Ho 3.46-3.53
Ho 0.2679 0.6014 0.1347  4 Ho 3.26-3.53, 3 Sm 3.45-3.60, 1 Pr 3.52



No. 5
Compound: PrSm5Ho3
Source: Alexandria via LeMat-Bulk
Functional: PBE
Structure: relaxed

Output
E above lowest polymorph (kJ/mol of formula units): 0
Space group: C2/c (15)
ΔH_f (0 K) (eV/f.u.): 1.59
Calculated density (g/cm3): 7.62

Lattice parameters (Å, degrees): 6.7656 12.1865 11.5748 136.22 90.00 106.12
Closest atoms and distances in Å follow each position.
Sites, in units of the cell vectors:
Ho 0.6380 0.4808 0.6101  7 Sm 3.33-3.66, 1 Ho 3.52
Sm 0.0774 0.3451 0.4940  2 Sm 3.06-3.40, 2 Ho 3.33
Sm 0.3139 0.0000 0.7500  1 Pr 3.02, 2 Sm 3.06
Sm 0.6861 0.0000 0.2500  1 Pr 3.02, 2 Sm 3.06
Ho 0.1573 0.5192 0.8899  7 Sm 3.33-3.66, 1 Ho 3.52
Sm 0.3854 0.7784 0.8290  4 Sm 3.40-3.62, 4 Ho 3.52-3.77, 2 Pr 3.79-3.81
Sm 0.7323 0.6549 0.0060  2 Sm 3.06-3.40, 2 Ho 3.33
Pr 0.2395 0.0000 0.2500  1 Sm 3.02, 2 Ho 3.32
Sm 0.6071 0.2216 0.6710  4 Sm 3.40-3.62, 4 Ho 3.52-3.77, 2 Pr 3.79-3.81
Ho 0.0000 0.0000 0.5000  2 Pr 3.32, 2 Sm 3.59
Sm 0.3929 0.7784 0.3290  4 Sm 3.40-3.62, 4 Ho 3.52-3.77, 2 Pr 3.79-3.81
Sm 0.6146 0.2216 0.1710  4 Sm 3.40-3.62, 4 Ho 3.52-3.77, 2 Pr 3.79-3.81
Ho 0.8427 0.4808 0.1101  7 Sm 3.33-3.66, 1 Ho 3.52
Pr 0.7605 0.0000 0.7500  1 Sm 3.02, 2 Ho 3.32
Sm 0.2677 0.3451 0.9940  2 Sm 3.06-3.40, 2 Ho 3.33
Sm 0.9226 0.6549 0.5060  2 Sm 3.06-3.40, 2 Ho 3.33
Ho 0.3620 0.5192 0.3899  7 Sm 3.33-3.66, 1 Ho 3.52
Ho 0.0000 0.0000 0.0000  2 Pr 3.32, 2 Sm 3.59



No. 6
Compound: Pr2Sm3Ho2
Source: Alexandria via LeMat-Bulk
Functional: PBE
Structure: relaxed

Output
E above lowest polymorph (kJ/mol of formula units): 74
Space group: C2/m (12)
ΔH_f (0 K) (eV/f.u.): 0.86
Calculated density (g/cm3): 7.44

Lattice parameters (Å, degrees): 3.5356 8.8716 8.5948 115.36 101.87 90.00
Closest atoms and distances in Å follow each position.
Sites, in units of the cell vectors:
Ho 0.3602 0.0925 0.7203  4 Ho 3.54-3.77, 5 Sm 3.58-3.78, 4 Pr 3.65-3.80
Pr 0.9219 0.7997 0.8437  3 Pr 3.37-3.54, 4 Sm 3.44-3.65, 2 Ho 3.65
Pr 0.0781 0.2003 0.1563  3 Pr 3.37-3.54, 4 Sm 3.44-3.65, 2 Ho 3.65
Sm 0.7785 0.3501 0.5570  5 Sm 3.36-3.65, 3 Pr 3.51-3.65, 3 Ho 3.58-3.60
Ho 0.6398 0.9075 0.2797  4 Ho 3.54-3.77, 5 Sm 3.58-3.78, 4 Pr 3.65-3.80
Sm 0.0000 0.5000 0.0000  4 Sm 3.36-3.54, 2 Pr 3.44
Sm 0.2215 0.6499 0.4430  5 Sm 3.36-3.65, 3 Pr 3.51-3.65, 3 Ho 3.58-3.60



No. 7
Compound: Pr2Sm3Ho5
Source: Alexandria via LeMat-Bulk
Functional: PBE
Structure: relaxed

Output
E above lowest polymorph (kJ/mol of formula units): 113
Space group: C2/c (15)
ΔH_f (0 K) (eV/f.u.): 1.84
Calculated density (g/cm3): 7.75

Lattice parameters (Å, degrees): 9.3631 9.3650 11.2123 124.47 124.46 69.20
Closest atoms and distances in Å follow each position.
Sites, in units of the cell vectors:
Ho 0.5270 0.2770 0.5540  3 Ho 3.23-3.61, 4 Pr 3.32-3.48, 2 Sm 3.50
Sm 0.2304 0.9804 0.9607  4 Pr 3.32-3.54, 3 Ho 3.38-3.62, 2 Sm 3.49
Ho 0.8644 0.6089 0.7421  3 Sm 3.43-3.62, 2 Pr 3.46-3.59, 3 Ho 3.52-3.63
Ho 0.6223 0.8668 0.2579  3 Sm 3.43-3.62, 2 Pr 3.46-3.59, 3 Ho 3.52-3.63
Ho 0.4730 0.7230 0.4460  3 Ho 3.23-3.61, 4 Pr 3.32-3.48, 2 Sm 3.50
Ho 0.7256 0.4756 0.9512  1 Ho 3.23, 4 Sm 3.35-3.52, 2 Pr 3.56
Ho 0.1356 0.3911 0.2579  3 Sm 3.43-3.62, 2 Pr 3.46-3.59, 3 Ho 3.52-3.63
Pr 0.7727 0.0151 0.7423  2 Sm 3.13-3.32, 4 Ho 3.32-3.48
Sm 0.9797 0.2220 0.7505  1 Pr 3.13, 5 Ho 3.33-3.50, 1 Sm 3.49
Sm 0.7292 0.4715 0.2495  1 Pr 3.13, 5 Ho 3.33-3.50, 1 Sm 3.49
Ho 0.0225 0.7725 0.5451  5 Sm 3.33-3.47, 2 Pr 3.45, 2 Ho 3.52
Ho 0.3777 0.1332 0.7421  3 Sm 3.43-3.62, 2 Pr 3.46-3.59, 3 Ho 3.52-3.63
Sm 0.7696 0.0196 0.0393  4 Pr 3.32-3.54, 3 Ho 3.38-3.62, 2 Sm 3.49
Pr 0.2273 0.9849 0.2577  2 Sm 3.13-3.32, 4 Ho 3.32-3.48
Pr 0.4696 0.7273 0.7423  2 Sm 3.13-3.32, 4 Ho 3.32-3.48
Pr 0.5304 0.2727 0.2577  2 Sm 3.13-3.32, 4 Ho 3.32-3.48
Sm 0.0203 0.7780 0.2495  1 Pr 3.13, 5 Ho 3.33-3.50, 1 Sm 3.49
Ho 0.9775 0.2275 0.4549  5 Sm 3.33-3.47, 2 Pr 3.45, 2 Ho 3.52
Sm 0.2708 0.5285 0.7505  1 Pr 3.13, 5 Ho 3.33-3.50, 1 Sm 3.49
Ho 0.2744 0.5244 0.0488  1 Ho 3.23, 4 Sm 3.35-3.52, 2 Pr 3.56



No. 8
Compound: Pr2SmHo3
Source: Alexandria via LeMat-Bulk
Functional: PBE
Structure: relaxed

Output
E above lowest polymorph (kJ/mol of formula units): 0
Space group: C2/m (12)
ΔH_f (0 K) (eV/f.u.): 0.42
Calculated density (g/cm3): 7.65

Lattice parameters (Å, degrees): 3.5844 11.9719 17.2590 33.35 84.04 81.39
Closest atoms and distances in Å follow each position.
Sites, in units of the cell vectors:
Sm 0.5653 0.6043 0.2650  4 Pr 3.48-3.58, 2 Sm 3.58, 4 Ho 3.65-3.66
Pr 0.1873 0.4100 0.2155  7 Ho 3.42-3.59, 2 Sm 3.53, 2 Pr 3.58
Ho 0.9369 0.0640 0.0621  3 Pr 3.47-3.60, 5 Ho 3.50-3.58, 4 Sm 3.65-3.66
Sm 0.4347 0.3957 0.7350  4 Pr 3.48-3.58, 2 Sm 3.58, 4 Ho 3.65-3.66
Ho 0.3125 0.2731 0.1019  4 Pr 3.41-3.59, 8 Ho 3.55-3.71
Pr 0.4332 0.7547 0.3788  5 Ho 3.41-3.60, 3 Pr 3.44-3.58, 2 Sm 3.48-3.58
Ho 0.1910 0.0487 0.5694  5 Pr 3.45-3.59, 6 Ho 3.58-3.84
Ho 0.8090 0.9513 0.4306  5 Pr 3.45-3.59, 6 Ho 3.58-3.84
Pr 0.8127 0.5900 0.7845  7 Ho 3.42-3.59, 2 Sm 3.53, 2 Pr 3.58
Ho 0.6875 0.7269 0.8981  4 Pr 3.41-3.59, 8 Ho 3.55-3.71
Ho 0.0631 0.9360 0.9379  3 Pr 3.47-3.60, 5 Ho 3.50-3.58, 4 Sm 3.65-3.66
Pr 0.5668 0.2453 0.6212  5 Ho 3.41-3.60, 3 Pr 3.44-3.58, 2 Sm 3.48-3.58